## NaCuTePt (GGA-PBE)

Data for an optimized crystal structure of NaCuTePt.

```
data_NaCuTePt
_cell_length_a 6.6235
_cell_length_b 6.6235
_cell_length_c 6.6235
_cell_angle_alpha 90.00
_cell_angle_beta 90.00
_cell_angle_gamma 90.00
_symmetry_space_group_name_H-M 'F -4 3 m'
_symmetry_Int_Tables_number 216
_symmetry_space_group_name_Hall 'F -4 2 3'
loop_
_atom_site_label
_atom_site_fract_x
_atom_site_fract_y
_atom_site_fract_z
Na1 0.0000 0.0000 0.0000
Cu1 0.2500 0.2500 0.7500
Te1 0.0000 0.0000 0.5000
Pt1 0.2500 0.2500 0.2500
```

Values from the calculation:
excess energy over the best structure of this formula in the dataset	0.023	eV/atom